DFT (GGA-PBE) results for an optimized crystal structure of BaWI2.

Lattice parameters (Å, degrees): 5.9242 5.9242 5.9242 60.00 60.00 60.00
With the nearest neighbours (Å) after each atom.
Fractional coordinates of all 4 atoms:
I 0.2500 0.2500 0.2500  4 W 3.63, 4 Ba 3.63
I 0.7500 0.7500 0.7500  4 W 3.63, 4 Ba 3.63
Ba 0.0000 0.0000 0.0000  8 I 3.63
W 0.5000 0.5000 0.5000  8 I 3.63

Computed properties:
Formation energy (no corrections): 1.972 eV per formula unit
Energy above the lowest structure with this stoichiometry: 0.000 eV per atom
Total DFT energy (no corrections): -4.0010 eV per atom